Density functional theory data (SCAN) for a crystal of Y2Ir relaxed with PBEsol.

The value obtained for the formation enthalpy at 0 K is -0.800 eV per atom. Its density is 8.44 Mg/m³. The total magnetic moment is 0.00 Bohr magnetons per cell.

abc: 11.3596 3.8579 7.8384
angles: 90.00 122.09 90.00
Closest atoms and distances in Å follow each position.
Space group C2/m (No. 12)
Asymmetric unit:
Y1 0.0830 0.0000 0.3772 (multiplicity 4)  4 Ir 2.89-2.98
Y2 0.1725 0.5000 0.0810 (multiplicity 4)  3 Ir 2.76-2.91
Ir1 0.1357 0.5000 0.6842 (multiplicity 4)  7 Y 2.76-2.98, 1 Ir 2.90